Below is crystalline AlPtSe4 at its relaxed geometry, with properties calculated at the PBE-GGA level.

```
AlPtSe4
1.0
0.000 3.979 3.979
3.979 0.000 3.979
3.979 3.979 0.000
Al Pt Se
1 1 4
Direct
0.750 0.750 0.750
0.000 0.000 0.000
0.882 0.373 0.373
0.373 0.373 0.882
0.373 0.882 0.373
0.373 0.373 0.373
```

Crystal system: cubic
E (eV/atom): -3.171
V (Å³ per atom): 21.0
Formation energy from raw total energies (eV/f.u.): 4.70
Symmetry: No. 216

Below is crystalline TbDyGa at its relaxed geometry, with properties calculated at the PBE-GGA level.

```
TbDyGa
1.0
-1.370 2.476 -2.324
-0.718 -3.570 -3.381
-3.583 1.084 3.268
Tb Ga Dy
1 1 1
Direct
0.393 0.333 0.667
0.675 0.667 0.333
0.932 0.000 0.000
```

Crystal system: trigonal
E (eV/atom): -4.363
V (Å³ per atom): 26.1
Energy relative to the elements (eV/atom): -0.276
Symmetry: No. 156

Below is crystalline Li2MgSc3Se6 at its relaxed geometry, with properties calculated at the PBE-GGA level.

```
Li2MgSc3Se6
1.0
-3.119 -2.365 5.402
-1.440 -2.465 -6.030
6.117 -2.820 0.924
Li Mg Sc Se
2 1 3 6
Direct
0.334 0.666 0.000
0.666 0.334 0.000
0.000 0.000 0.000
0.167 0.833 0.500
0.833 0.167 0.500
0.500 0.500 0.500
0.916 0.585 0.748
0.753 0.753 0.251
0.084 0.415 0.252
0.585 0.916 0.748
0.247 0.247 0.749
0.415 0.084 0.252
```

Crystal system: monoclinic
E (eV/atom): -5.317
V (Å³ per atom): 20.6
Formation energy from raw total energies (eV/f.u.): -18.48
Symmetry: No. 12

Below is crystalline LiAl2Sn at its relaxed geometry, with properties calculated at the PBE-GGA level.

```
LiAl2Sn
1.0
8.361 0.000 0.000
0.000 8.361 0.000
4.181 4.181 2.632
Li Sn Al
2 2 4
Direct
0.500 0.500 0.000
0.250 0.750 0.500
0.000 0.000 0.000
0.750 0.250 0.500
0.673 0.125 0.250
0.077 0.625 0.250
0.375 0.327 0.750
0.875 0.923 0.750
```

Crystal system: tetragonal
E (eV/atom): -3.194
V (Å³ per atom): 23.0
Energy relative to the elements (eV/atom): 0.157
Symmetry: No. 122

Below is crystalline TaNi2Pd at its relaxed geometry, with properties calculated at the PBE-GGA level.

```
TaNi2Pd
1.0
-0.215 1.251 2.952
2.846 -1.288 0.753
2.466 4.452 -1.707
Ni Pd Ta
2 1 1
Direct
0.000 0.000 0.762
0.000 0.000 0.238
0.500 0.500 0.500
0.500 0.500 0.000
```

Crystal system: tetragonal
E (eV/atom): -7.410
V (Å³ per atom): 13.9
Energy relative to the elements (eV/atom): -0.258
Symmetry: No. 123

Below is crystalline LiZn2Ni4 at its relaxed geometry, with properties calculated at the PBE-GGA level.

```
LiZn2Ni4
1.0
-1.526 -3.227 -2.383
1.922 -2.826 2.596
-4.243 2.861 2.708
Li Zn Ni
1 2 4
Direct
0.000 0.000 0.000
0.633 0.633 0.266
0.367 0.367 0.734
0.750 0.250 0.500
0.250 0.750 0.500
0.500 0.000 0.000
0.000 0.500 0.000
```

Crystal system: tetragonal
E (eV/atom): -3.714
V (Å³ per atom): 13.0
Energy relative to the elements (eV/atom): 0.227
Symmetry: No. 139